[1]
Computed, not measured: Nd2Hg3Au4 after structural relaxation at the PBE-GGA level of DFT.

## Properties
V: 208 Å³/f.u.
Total magnetic moment: 0.0000 μB/atom
Calculated total energy: -27.92 eV for the cell shown
Energy relative to the elements: -486 meV per atom

Cell lengths 4.945, 4.952, 9.713 Å; angles 86.61, 86.78, 61.20 degrees
Space group P-1 (No. 2)
Unique sites:
Nd 0.158 0.158 0.225 (multiplicity 2)
Hg 0.181 0.182 0.587 (multiplicity 2)
Hg 0.500 0.500 0.000 (multiplicity 1)
Au 0.170 0.170 0.909 (multiplicity 2)
Au 0.484 0.483 0.354 (multiplicity 2)


[2]
Computed, not measured: PrH6RuRh after structural relaxation at the PBE-GGA level of DFT.

## Properties
V: 84 Å³/f.u.
Total magnetic moment: 0.0000 μB/atom
Calculated total energy: -43.84 eV for the cell shown

Cell lengths 4.7002, 4.7002, 4.3657 Å; angles 90.00, 90.00, 120.00 degrees
Space group P-6m2 (No. 187)
Unique sites:
Pr 0.0000 0.0000 0.0000 (multiplicity 1)
H 0.0088 0.5044 0.2332 (multiplicity 6)
Ru 0.3333 0.6667 0.5000 (multiplicity 1)
Rh 0.6667 0.3333 0.5000 (multiplicity 1)


[3]
Computed, not measured: Sr2MgCuRh after structural relaxation at the PBE-GGA level of DFT.

## Properties
V: 161 Å³/f.u.
Total magnetic moment: 0.0000 μB/atom
Calculated total energy: -16.12 eV for the cell shown
Energy relative to the elements: 58 meV per atom

Cell lengths 5.720, 5.720, 4.928 Å; angles 90.00, 90.00, 90.00 degrees
Space group P4/mmm (No. 123)
Unique sites:
Sr 0.000 0.500 0.000 (multiplicity 2)
Mg 0.000 0.000 0.500 (multiplicity 1)
Cu 0.500 0.500 0.500 (multiplicity 1)
Rh 0.000 0.000 0.000 (multiplicity 1)